(1)
First-principles (PBEsol) data for an optimized crystal structure of BeAl4Hg, as listed in the Alexandria database.

It has space group F-43m (No. 216), with a = 7.502 Å, b = 7.502 Å, c = 7.502 Å, α = 90.00°, β = 90.00° and γ = 90.00°. The distinct sites, in fractional coordinates, are Be at (0.000, 0.000, 0.000), Al at (0.126, 0.126, 0.374) and Hg at (0.250, 0.250, 0.750).

Its calculated volume is 17.59 Å³/atom. The value obtained for the calculated density is 4.996 g cm⁻³. The calculation puts the total energy at -3.034 eV/atom. The total magnetic moment is 0.00 μB per formula unit. The value obtained for the calculated formation energy is 0.46 eV/atom.

***

(2)
First-principles (PBEsol) data for an optimized crystal structure of K2BeAlHg, as listed in the Alexandria database.

It has space group P4/mmm (No. 123), with a = 6.086 Å, b = 6.086 Å, c = 4.520 Å, α = 90.00°, β = 90.00° and γ = 90.00°. The distinct sites, in fractional coordinates, are K at (0.000, 0.500, 0.000), Be at (0.000, 0.000, 0.000), Al at (0.500, 0.500, 0.500) and Hg at (0.000, 0.000, 0.500).

Its calculated volume is 33.49 Å³/atom. The value obtained for the calculated density is 3.122 g cm⁻³. The calculation puts the total energy at -1.609 eV/atom. The total magnetic moment is 0.00 μB per formula unit. The value obtained for the calculated formation energy is 0.58 eV/atom.

***

(3)
First-principles (PBEsol) data for an optimized crystal structure of BeAl2HgOs, as listed in the Alexandria database.

It has space group P4/mmm (No. 123), with a = 4.227 Å, b = 4.227 Å, c = 4.379 Å, α = 90.00°, β = 90.00° and γ = 90.00°. The distinct sites, in fractional coordinates, are Be at (0.000, 0.000, 0.000), Al at (0.000, 0.500, 0.000), Hg at (0.000, 0.000, 0.500) and Os at (0.500, 0.500, 0.500).

Its calculated volume is 15.65 Å³/atom. The value obtained for the calculated density is 9.631 g cm⁻³. The calculation puts the total energy at -3.990 eV/atom. The total magnetic moment is 0.00 μB per formula unit. The value obtained for the calculated formation energy is 1.00 eV/atom.

***

(4)
First-principles (PBEsol) data for an optimized crystal structure of BeAl3I, as listed in the Alexandria database.

It has space group Pm-3m (No. 221), with a = 5.643 Å, b = 5.643 Å, c = 5.643 Å, α = 90.00°, β = 90.00° and γ = 90.00°. The distinct sites, in fractional coordinates, are Be at (0.000, 0.000, 0.000), Al at (0.000, 0.500, 0.500) and I at (0.500, 0.500, 0.500).

The calculation puts the uncorrected formation energy at 1.67 eV per atom. Its calculated volume is 35.94 Å³/atom. The value obtained for the calculated density is 2.004 g cm⁻³. The calculation puts the total energy at -1.940 eV/atom. The total magnetic moment is 0.00 μB per formula unit.

***

(5)
First-principles (PBEsol) data for an optimized crystal structure of Be2AlIn, as listed in the Alexandria database.

It has space group Fm-3m (No. 225), with a = 6.156 Å, b = 6.156 Å, c = 6.156 Å, α = 90.00°, β = 90.00° and γ = 90.00°. The distinct sites, in fractional coordinates, are Be at (0.250, 0.250, 0.250), Al at (0.000, 0.000, 0.000) and In at (0.000, 0.000, 0.500).

Its energy above the most stable polymorph in this dataset is 3.91 kcal/mol of atoms. Its calculated volume is 14.58 Å³/atom. The value obtained for the calculated density is 4.551 g cm⁻³. The calculation puts the total energy at -3.237 eV/atom. The total magnetic moment is 0.00 μB per formula unit. The value obtained for the calculated formation energy is 0.53 eV/atom.

***

(6)
First-principles (PBEsol) data for an optimized crystal structure of BeAl2In, as listed in the Alexandria database.

It has space group P4/mmm (No. 123), with a = 2.915 Å, b = 2.915 Å, c = 7.774 Å, α = 90.00°, β = 90.00° and γ = 90.00°. The distinct sites, in fractional coordinates, are Be at (0.000, 0.000, 0.000), Al at (0.500, 0.500, 0.193) and In at (0.000, 0.000, 0.500).

Its energy above the most stable polymorph in this dataset is 0.00 kcal/mol of atoms. Its calculated volume is 16.51 Å³/atom. The value obtained for the calculated density is 4.470 g cm⁻³. The calculation puts the total energy at -3.568 eV/atom. The total magnetic moment is 0.00 μB per formula unit. The value obtained for the calculated formation energy is 0.22 eV/atom.

***

(7)
First-principles (PBEsol) data for an optimized crystal structure of BeAl2In, as listed in the Alexandria database.

It has space group P2/m (No. 10), with a = 3.985 Å, b = 4.025 Å, c = 4.764 Å, α = 90.00°, β = 108.54° and γ = 90.00°. The distinct sites, in fractional coordinates, are Be at (0.000, 0.000, 0.000), Al at (0.155, 0.500, 0.793) and In at (0.500, 0.000, 0.500).

Its energy above the most stable polymorph in this dataset is 2.73 kcal/mol of atoms. Its calculated volume is 18.11 Å³/atom. The value obtained for the calculated density is 4.075 g cm⁻³. The calculation puts the total energy at -3.449 eV/atom. The total magnetic moment is 0.00 μB per formula unit. The value obtained for the calculated formation energy is 0.34 eV/atom.

***

(8)
First-principles (PBEsol) data for an optimized crystal structure of Be2AlIn, as listed in the Alexandria database.

It has space group P4mm (No. 99), with a = 2.786 Å, b = 2.786 Å, c = 7.555 Å, α = 90.00°, β = 90.00° and γ = 90.00°. The distinct sites, in fractional coordinates, are Be at (0.000, 0.000, 0.000), Be at (0.500, 0.500, 0.157), Al at (0.500, 0.500, 0.776) and In at (0.000, 0.000, 0.432).

Its energy above the most stable polymorph in this dataset is 0.00 kcal/mol of atoms. Its calculated volume is 14.66 Å³/atom. The value obtained for the calculated density is 4.527 g cm⁻³. The calculation puts the total energy at -3.406 eV/atom. The total magnetic moment is 0.00 μB per formula unit. The value obtained for the calculated formation energy is 0.36 eV/atom.